[1]
A plane-wave DFT calculation with PBE was carried out for an optimized crystal structure of Nd8CdOs2.

a = 8.9974 Å, b = 13.4856 Å, c = 5.7150 Å
α = 90.00°, β = 103.08°, γ = 90.00°
With the nearest neighbours (Å) after each atom.
Space group Cm (No. 8)
Symmetry-distinct sites (fractional):
Nd 0.0000 0.0000 0.0000  2 Os 3.10, 1 Cd 3.41, 1 Nd 3.45
Nd 0.0813 0.3693 0.7782  2 Os 2.97
Nd 0.1898 0.1308 0.6315  2 Os 2.97
Nd 0.2730 0.5000 0.4116  2 Os 3.10, 1 Cd 3.41, 1 Nd 3.45
Nd 0.3850 0.2513 0.2051  2 Os 2.97
Cd 0.3866 0.0000 0.2047  12 Nd 3.39-3.79
Os 0.3860 0.3108 0.7058  8 Nd 2.97-3.10



[2]
A plane-wave DFT calculation with PBE was carried out for an optimized crystal structure of Nd5CdOs2.

a = 8.0375 Å, b = 8.0375 Å, c = 13.9266 Å
α = 90.00°, β = 90.00°, γ = 90.00°
With the nearest neighbours (Å) after each atom.
Space group I4/mcm (No. 140)
Symmetry-distinct sites (fractional):
Nd 0.0000 0.0000 0.0000  4 Os 3.10
Nd 0.1589 0.3411 0.1306  3 Os 2.92-3.02
Cd 0.0000 0.0000 0.2500  10 Nd 3.45-3.48
Os 0.1404 0.3596 0.5000  8 Nd 2.92-3.10, 1 Os 3.19



[3]
A plane-wave DFT calculation with PBE was carried out for an optimized crystal structure of Nd5Cd2Os.

a = 6.8969 Å, b = 12.7481 Å, c = 5.2463 Å
α = 90.00°, β = 90.00°, γ = 90.00°
With the nearest neighbours (Å) after each atom.
Space group Pbam (No. 55)
Symmetry-distinct sites (fractional):
Nd 0.0000 0.0000 0.0000  4 Cd 3.34, 2 Os 3.45, 6 Nd 3.71-3.72
Nd 0.1263 0.2901 0.0000  1 Os 2.81
Nd 0.1611 0.5933 0.5000  2 Os 3.09, 2 Cd 3.21-3.29, 1 Nd 3.25
Cd 0.1138 0.8498 0.5000  9 Nd 3.21-3.58
Os 0.0000 0.5000 0.0000  6 Nd 2.81-3.09



[4]
A plane-wave DFT calculation with PBE was carried out for an optimized crystal structure of Nd6CdOs.

a = 7.0247 Å, b = 7.0654 Å, c = 7.7867 Å
α = 63.41°, β = 63.59°, γ = 60.23°
With the nearest neighbours (Å) after each atom.
Space group P-1 (No. 2)
Symmetry-distinct sites (fractional):
Nd 0.0431 0.4173 0.2570  1 Os 2.78
Nd 0.2196 0.9585 0.7439  1 Os 2.78
Nd 0.4171 0.7830 0.2563  1 Os 2.78, 1 Cd 3.11
Cd 0.5000 0.5000 0.0000  6 Nd 3.11-3.12
Os 0.0000 0.0000 0.5000  6 Nd 2.78



[5]
A plane-wave DFT calculation with PBE was carried out for an optimized crystal structure of Nd2CdOs.

Calculated values
Relative energy among the computed polymorphs, eV/atom: 0.076

a = 7.3289 Å, b = 7.3289 Å, c = 7.3289 Å
α = 90.00°, β = 90.00°, γ = 90.00°
With the nearest neighbours (Å) after each atom.
Space group Fm-3m (No. 225)
Symmetry-distinct sites (fractional):
Nd 0.2500 0.2500 0.2500  4 Cd 3.17, 4 Os 3.17
Cd 0.0000 0.0000 0.0000  8 Nd 3.17
Os 0.0000 0.0000 0.5000  8 Nd 3.17



[6]
A plane-wave DFT calculation with PBE was carried out for an optimized crystal structure of Nd2CdOs.

Calculated values
Relative energy among the computed polymorphs, eV/atom: 0.000

a = 3.5274 Å, b = 3.5274 Å, c = 8.2126 Å
α = 90.00°, β = 90.00°, γ = 90.00°
With the nearest neighbours (Å) after each atom.
Space group P4/mmm (No. 123)
Symmetry-distinct sites (fractional):
Nd 0.0000 0.0000 0.2115  4 Os 3.04
Cd 0.5000 0.5000 0.5000  8 Nd 3.44, 4 Cd 3.53
Os 0.5000 0.5000 0.0000  8 Nd 3.04



These records have energy of formation values of -0.049, -0.158, -0.178, 0.085, -0.055, -0.131 eV per atom, in the order they appear.